(1)
Crystalline NbGaHRh2 at its relaxed geometry. Source: Alexandria via LeMat-Bulk, functional PBE-GGA.

- space group = No. 123
- DOS(E_F) (states/eV per atom) = 0.57
- electronic total energy (eV/f.u.) = -32.63

Geometry as POSCAR:
```
NbGaHRh2
1.0
3.974 0.000 0.000
0.000 3.974 0.000
0.000 0.000 4.039
H Nb Rh Ga
1 1 2 1
direct
0.000 0.000 0.000 H
0.000 0.000 0.500 Nb
0.000 0.500 0.000 Rh
0.500 0.000 0.000 Rh
0.500 0.500 0.500 Ga
```

=====

(2)
Crystalline Nb2GaHRh at its relaxed geometry. Source: Alexandria via LeMat-Bulk, functional PBE-GGA.

- distance to the lowest polymorph of the same formula (meV per atom) = 106.2
- space group = No. 123
- DOS(E_F) (states/eV per atom) = 0.41
- electronic total energy (eV/f.u.) = -34.94

Geometry as POSCAR:
```
Nb2GaHRh
1.0
3.913 0.000 0.000
0.000 3.913 0.000
0.000 0.000 4.440
H Nb Rh Ga
1 2 1 1
direct
0.000 0.000 0.000 H
0.000 0.500 0.000 Nb
0.500 0.000 0.000 Nb
0.500 0.500 0.500 Rh
0.000 0.000 0.500 Ga
```

=====

(3)
Crystalline NbGaH2Se at its relaxed geometry. Source: Alexandria via LeMat-Bulk, functional PBE-GGA.

- space group = No. 123
- DOS(E_F) (states/eV per atom) = 0.38
- electronic total energy (eV/f.u.) = -21.22

Geometry as POSCAR:
```
NbGaH2Se
1.0
3.652 0.000 0.000
0.000 5.588 0.000
0.000 0.000 3.652
H Nb Ga Se
2 1 1 1
direct
0.000 0.000 0.500 H
0.500 0.000 0.000 H
0.000 0.500 0.000 Nb
0.500 0.500 0.500 Ga
0.000 0.000 0.000 Se
```

=====

(4)
Crystalline Ta2NbGaH at its relaxed geometry. Source: Alexandria via LeMat-Bulk, functional PBE-GGA.

- distance to the lowest polymorph of the same formula (meV per atom) = 0.0
- space group = No. 123
- DOS(E_F) (states/eV per atom) = 0.62
- electronic total energy (eV/f.u.) = -40.81

Geometry as POSCAR:
```
Ta2NbGaH
1.0
-3.732 -0.983 -1.240
1.496 -3.225 -1.948
-0.556 -2.434 3.602
H Nb Ga Ta
1 1 1 2
direct
0.000 0.000 0.000 H
0.000 0.000 0.500 Nb
0.500 0.500 0.500 Ga
0.000 0.500 0.000 Ta
0.500 0.000 0.000 Ta
```